Record 1
## Rb2GaHgF6 (GGA-PBE)

Data for a relaxed Rb2GaHgF6 crystal.

Cell: 6.366 6.366 6.366 Å, 60.00 60.00 60.00°
Element x y z (fractional)
Rb  0.250  0.250  0.250
Rb  0.750  0.750  0.750
Ga  0.000  0.000  0.000
Hg  0.500  0.500  0.500
F  0.215  0.215  0.785
F  0.215  0.785  0.215
F  0.215  0.785  0.785
F  0.785  0.215  0.215
F  0.785  0.215  0.785
F  0.785  0.785  0.215

Summary:
**Crystal system**: cubic
**Total magnetization**: 0.00 μB/f.u.
**Symmetry**: Fm-3m, No. 225

Record 2
## RbGa2HgF8 (GGA-PBE)

Data for a relaxed RbGa2HgF8 crystal.

Cell: 8.274 8.274 8.274 Å, 41.32 41.32 41.32°
Element x y z (fractional)
Rb  0.000  0.000  0.000
Ga  0.252  0.252  0.252
Ga  0.748  0.748  0.748
Hg  0.500  0.500  0.500
F  0.040  0.454  0.819
F  0.181  0.960  0.546
F  0.331  0.331  0.331
F  0.454  0.819  0.040
F  0.546  0.181  0.960
F  0.669  0.669  0.669
F  0.819  0.040  0.454
F  0.960  0.546  0.181

Summary:
**Crystal system**: trigonal
**Total magnetization**: 0.54 μB/f.u.
**Symmetry**: R-3, No. 148

Record 3
## GaHg2SbF (GGA-PBE)

Data for a relaxed GaHg2SbF crystal.

Cell: 5.401 5.401 4.227 Å, 90.00 90.00 90.00°
Element x y z (fractional)
Ga  0.000  0.000  0.000
Hg  0.000  0.500  0.500
Hg  0.500  0.000  0.500
Sb  0.500  0.500  0.000
F  0.000  0.000  0.500

Summary:
**Crystal system**: tetragonal
**Total magnetization**: 0.00 μB/f.u.
**Symmetry**: P4/mmm, No. 123

VASP energy (eV/cell)
-40.24, -49.92, -10.93